No. 1
A relaxed structure of Tb5SmErTm2. Source: the Alexandria database, functional PBE.

## Properties
* crystal system: orthorhombic
* magnetization: 0.0 μB/f.u.

Cell lengths 5.5721, 10.3303, 10.5680 Å; angles 90.00, 90.00, 105.65 degrees
With the nearest neighbours (Å) after each atom.
Atoms (fractional coordinates):
Tb 0.0172 0.0343 0.0242  2 Er 3.20, 3 Tm 3.38-3.53
Tb 0.3922 0.7844 0.0240  6 Tb 3.43-3.82, 4 Tm 3.54-3.59, 1 Sm 3.82
Tb 0.7000 0.4001 0.2066  3 Tb 3.39-3.58, 3 Sm 3.47-3.78, 2 Tm 3.47, 1 Er 3.47
Tb 0.2815 0.5629 0.3073  1 Er 3.05, 1 Tm 3.33, 2 Tb 3.39
Tb 0.3000 0.5999 0.7066  3 Tb 3.39-3.58, 3 Sm 3.47-3.78, 2 Tm 3.47, 1 Er 3.47
Tb 0.6078 0.2156 0.5240  6 Tb 3.43-3.82, 4 Tm 3.54-3.59, 1 Sm 3.82
Tb 0.5210 0.0420 0.2391  2 Er 3.14-3.27, 2 Tb 3.43-3.47, 2 Tm 3.45
Tb 0.7185 0.4371 0.8073  1 Er 3.05, 1 Tm 3.33, 2 Tb 3.39
Tb 0.4790 0.9580 0.7391  2 Er 3.14-3.27, 2 Tb 3.43-3.47, 2 Tm 3.45
Tb 0.9828 0.9657 0.5242  2 Er 3.20, 3 Tm 3.38-3.53
Er 0.5872 0.1745 0.9558  5 Tb 3.05-3.27
Er 0.4128 0.8255 0.4558  5 Tb 3.05-3.27
Sm 0.7998 0.5995 0.5109  2 Tm 3.40-3.66, 7 Tb 3.47-3.78, 2 Er 3.63
Sm 0.2002 0.4005 0.0109  2 Tm 3.40-3.66, 7 Tb 3.47-3.78, 2 Er 3.63
Tm 0.1092 0.2184 0.7387  6 Tb 3.38-3.61, 1 Sm 3.40, 2 Er 3.64
Tm 0.1140 0.2281 0.3173  9 Tb 3.33-3.65, 1 Sm 3.66
Tm 0.8908 0.7816 0.2387  6 Tb 3.38-3.61, 1 Sm 3.40, 2 Er 3.64
Tm 0.8860 0.7719 0.8173  9 Tb 3.33-3.65, 1 Sm 3.66

=====

No. 2
A relaxed structure of TbSm6Er2Tm3. Source: the Alexandria database, functional PBE.

## Properties
* crystal system: monoclinic
* magnetization: 0.0 μB/f.u.

Cell lengths 6.1900, 6.1900, 11.7295 Å; angles 95.03, 95.03, 119.98 degrees
With the nearest neighbours (Å) after each atom.
Atoms (fractional coordinates):
Tm 0.1668 0.8332 0.5000  6 Sm 3.54, 6 Tm 3.57-3.58
Tm 0.8332 0.1668 0.5000  6 Sm 3.54, 6 Tm 3.57-3.58
Tm 0.5000 0.5000 0.5000  6 Sm 3.54, 6 Tm 3.57-3.58
Er 0.6666 0.3334 0.0000  6 Sm 3.56, 3 Er 3.57, 3 Tb 3.57
Er 0.3334 0.6666 0.0000  6 Sm 3.56, 3 Er 3.57, 3 Tb 3.57
Sm 0.7504 0.7504 0.2510  3 Tm 3.54, 1 Tb 3.56, 2 Er 3.56, 6 Sm 3.57-3.58
Sm 0.2496 0.2496 0.7490  3 Tm 3.54, 1 Tb 3.56, 2 Er 3.56, 6 Sm 3.57-3.58
Sm 0.9161 0.5825 0.7490  3 Tm 3.54, 2 Er 3.56, 1 Tb 3.56, 6 Sm 3.57-3.58
Sm 0.5825 0.9161 0.7490  3 Tm 3.54, 2 Er 3.56, 1 Tb 3.56, 6 Sm 3.57-3.58
Sm 0.4175 0.0839 0.2510  3 Tm 3.54, 2 Er 3.56, 1 Tb 3.56, 6 Sm 3.57-3.58
Sm 0.0839 0.4175 0.2510  3 Tm 3.54, 2 Er 3.56, 1 Tb 3.56, 6 Sm 3.57-3.58
Tb 0.0000 0.0000 0.0000  6 Sm 3.56, 6 Er 3.57

=====

No. 3
A relaxed structure of TbSmEr2Tm4. Source: the Alexandria database, functional PBE.

## Properties
* crystal system: tetragonal
* magnetization: 0.0 μB/f.u.

Cell lengths 4.9772, 4.9757, 11.1099 Å; angles 63.41, 90.00, 90.00 degrees
With the nearest neighbours (Å) after each atom.
Atoms (fractional coordinates):
Tm 0.0000 0.7494 0.7511  4 Er 3.51-3.52, 2 Tb 3.51, 4 Tm 3.52, 2 Sm 3.52
Tm 0.5000 0.2494 0.7510  2 Tb 3.51, 4 Er 3.51-3.52, 4 Tm 3.52, 2 Sm 3.52
Tm 0.5000 0.7506 0.2490  2 Tb 3.51, 4 Er 3.51-3.52, 4 Tm 3.52, 2 Sm 3.52
Tm 0.0000 0.2506 0.2489  4 Er 3.51-3.52, 2 Tb 3.51, 4 Tm 3.52, 2 Sm 3.52
Sm 0.0000 0.5000 0.5000  4 Er 3.52, 8 Tm 3.52
Er 0.5000 0.0000 0.5000  4 Sm 3.52, 8 Tm 3.52
Er 0.0000 0.0000 0.0000  8 Tm 3.51, 4 Tb 3.52
Tb 0.5000 0.5000 0.0000  8 Tm 3.51, 4 Er 3.52

=====

No. 4
A relaxed structure of Tb2SmErTm2. Source: the Alexandria database, functional PBE.

## Properties
* crystal system: orthorhombic
* magnetization: 0.0 μB/f.u.

Cell lengths 3.3714, 6.5180, 17.6779 Å; angles 90.00, 90.00, 90.00 degrees
With the nearest neighbours (Å) after each atom.
Atoms (fractional coordinates):
Tb 0.0000 0.2304 0.8148  4 Tm 3.32-3.40, 2 Tb 3.37, 1 Er 3.60
Tb 0.5000 0.7304 0.6852  4 Tm 3.32-3.40, 2 Tb 3.37, 1 Er 3.60
Tb 0.5000 0.2696 0.3148  4 Tm 3.32-3.40, 2 Tb 3.37, 1 Er 3.60
Tb 0.0000 0.7696 0.1852  4 Tm 3.32-3.40, 2 Tb 3.37, 1 Er 3.60
Er 0.0000 0.0000 0.0000  2 Tm 3.15, 2 Er 3.37
Er 0.5000 0.5000 0.5000  2 Tm 3.15, 2 Er 3.37
Sm 0.5000 0.5000 0.0000  2 Sm 3.37, 4 Tm 3.45, 4 Er 3.67
Sm 0.0000 0.0000 0.5000  2 Sm 3.37, 4 Tm 3.45, 4 Er 3.67
Tm 0.0000 0.2702 0.1477  1 Er 3.15, 4 Tb 3.32-3.40, 2 Tm 3.37, 2 Sm 3.45
Tm 0.5000 0.7702 0.3523  1 Er 3.15, 4 Tb 3.32-3.40, 2 Tm 3.37, 2 Sm 3.45
Tm 0.5000 0.2298 0.6477  1 Er 3.15, 4 Tb 3.32-3.40, 2 Tm 3.37, 2 Sm 3.45
Tm 0.0000 0.7298 0.8523  1 Er 3.15, 4 Tb 3.32-3.40, 2 Tm 3.37, 2 Sm 3.45

=====

No. 5
A relaxed structure of Tb2Sm6ErTm. Source: the Alexandria database, functional PBE.

## Properties
* crystal system: monoclinic
* magnetization: 0.0 μB/f.u.

Cell lengths 9.5904, 8.8772, 8.8772 Å; angles 117.96, 93.89, 93.89 degrees
With the nearest neighbours (Å) after each atom.
Atoms (fractional coordinates):
Sm 0.3814 0.5061 0.2901  4 Sm 3.25-3.61, 3 Tb 3.26-3.45, 2 Tm 3.44-3.55
Sm 0.6877 0.0130 0.5678  2 Sm 3.25-3.60, 1 Tb 3.43, 1 Tm 3.45, 1 Er 3.57
Sm 0.6186 0.4939 0.7099  4 Sm 3.25-3.61, 3 Tb 3.26-3.45, 2 Tm 3.44-3.55
Sm 0.0546 0.1217 0.7596  7 Sm 3.42-3.76, 1 Tb 3.47, 1 Er 3.66
Sm 0.3123 0.9870 0.4322  2 Sm 3.25-3.60, 1 Tb 3.43, 1 Tm 3.45, 1 Er 3.57
Sm 0.4454 0.2404 0.8783  7 Sm 3.42-3.76, 1 Tb 3.47, 1 Er 3.66
Sm 0.1877 0.5678 0.0130  2 Sm 3.25-3.60, 1 Tb 3.43, 1 Tm 3.45, 1 Er 3.57
Sm 0.8123 0.4322 0.9870  2 Sm 3.25-3.60, 1 Tb 3.43, 1 Tm 3.45, 1 Er 3.57
Sm 0.9454 0.8783 0.2404  7 Sm 3.42-3.76, 1 Tb 3.47, 1 Er 3.66
Sm 0.8814 0.2901 0.5061  4 Sm 3.25-3.61, 3 Tb 3.26-3.45, 2 Tm 3.44-3.55
Sm 0.5546 0.7596 0.1217  7 Sm 3.42-3.76, 1 Tb 3.47, 1 Er 3.66
Sm 0.1186 0.7099 0.4939  4 Sm 3.25-3.61, 3 Tb 3.26-3.45, 2 Tm 3.44-3.55
Tb 0.4554 0.8001 0.6992  5 Sm 3.26-3.47, 2 Er 3.41-3.42, 1 Tm 3.53
Tb 0.0446 0.3008 0.1999  5 Sm 3.26-3.47, 2 Er 3.41-3.42, 1 Tm 3.53
Tb 0.5446 0.1999 0.3008  5 Sm 3.26-3.47, 2 Er 3.41-3.42, 1 Tm 3.53
Tb 0.9554 0.6992 0.8001  5 Sm 3.26-3.47, 2 Er 3.41-3.42, 1 Tm 3.53
Er 0.2500 0.9749 0.0251  4 Tb 3.41-3.42, 4 Sm 3.57-3.66
Er 0.7500 0.0251 0.9749  4 Tb 3.41-3.42, 4 Sm 3.57-3.66
Tm 0.2500 0.4104 0.5896  6 Sm 3.44-3.55, 2 Tb 3.53
Tm 0.7500 0.5896 0.4104  6 Sm 3.44-3.55, 2 Tb 3.53

=====

No. 6
A relaxed structure of Tb6Sm2Er3Tm. Source: the Alexandria database, functional PBE.

## Properties
* crystal system: monoclinic
* magnetization: 0.0 μB/f.u.

Cell lengths 6.1474, 6.1474, 11.7691 Å; angles 94.97, 94.97, 119.96 degrees
With the nearest neighbours (Å) after each atom.
Atoms (fractional coordinates):
Sm 0.3334 0.6666 0.0000  3 Sm 3.55, 3 Tm 3.55, 6 Tb 3.57
Sm 0.6666 0.3334 0.0000  3 Sm 3.55, 3 Tm 3.55, 6 Tb 3.57
Tb 0.7519 0.7519 0.2524  3 Er 3.52-3.53, 6 Tb 3.54-3.56, 1 Tm 3.57, 2 Sm 3.57
Tb 0.0844 0.4169 0.2521  3 Er 3.53, 6 Tb 3.54-3.56, 1 Tm 3.57, 2 Sm 3.57
Tb 0.2481 0.2481 0.7476  3 Er 3.52-3.53, 6 Tb 3.54-3.56, 1 Tm 3.57, 2 Sm 3.57
Tb 0.4169 0.0844 0.2521  3 Er 3.53, 6 Tb 3.54-3.56, 1 Tm 3.57, 2 Sm 3.57
Tb 0.5831 0.9156 0.7479  3 Er 3.53, 6 Tb 3.54-3.56, 1 Tm 3.57, 2 Sm 3.57
Tb 0.9156 0.5831 0.7479  3 Er 3.53, 6 Tb 3.54-3.56, 1 Tm 3.57, 2 Sm 3.57
Tm 0.0000 0.0000 0.0000  6 Sm 3.55, 6 Tb 3.57
Er 0.5000 0.5000 0.5000  6 Tb 3.53, 6 Er 3.55
Er 0.1664 0.8336 0.5000  6 Tb 3.52-3.53, 6 Er 3.54-3.55
Er 0.8336 0.1664 0.5000  6 Tb 3.52-3.53, 6 Er 3.54-3.55

=====

No. 7
A relaxed structure of TbSm2Er3Tm6. Source: the Alexandria database, functional PBE.

## Properties
* crystal system: monoclinic
* magnetization: 0.0 μB/f.u.

Cell lengths 6.0989, 6.0989, 11.6398 Å; angles 95.00, 95.00, 119.93 degrees
With the nearest neighbours (Å) after each atom.
Atoms (fractional coordinates):
Tm 0.9152 0.5821 0.7475  3 Er 3.49, 6 Tm 3.52-3.53, 2 Sm 3.53-3.54, 1 Tb 3.54
Tm 0.4179 0.0848 0.2525  3 Er 3.49, 6 Tm 3.52-3.53, 2 Sm 3.53-3.54, 1 Tb 3.54
Tm 0.5821 0.9152 0.7475  3 Er 3.49, 6 Tm 3.52-3.53, 2 Sm 3.53-3.54, 1 Tb 3.54
Tm 0.0848 0.4179 0.2525  3 Er 3.49, 6 Tm 3.52-3.53, 2 Sm 3.53-3.54, 1 Tb 3.54
Tm 0.7518 0.7518 0.2526  3 Er 3.49, 6 Tm 3.52-3.53, 1 Tb 3.53, 2 Sm 3.54
Tm 0.2482 0.2482 0.7474  3 Er 3.49, 6 Tm 3.52-3.53, 1 Tb 3.53, 2 Sm 3.54
Er 0.1666 0.8334 0.5000  6 Tm 3.49, 6 Er 3.52
Er 0.5000 0.5000 0.5000  6 Tm 3.49, 6 Er 3.52
Er 0.8334 0.1666 0.5000  6 Tm 3.49, 6 Er 3.52
Tb 0.0000 0.0000 0.0000  6 Sm 3.52, 6 Tm 3.53-3.54
Sm 0.3333 0.6667 0.0000  3 Tb 3.52, 3 Sm 3.52, 6 Tm 3.53-3.54
Sm 0.6667 0.3333 0.0000  3 Tb 3.52, 3 Sm 3.52, 6 Tm 3.53-3.54

=====

No. 8
A relaxed structure of TbSmEr2Tm6. Source: the Alexandria database, functional PBE.

## Properties
* crystal system: monoclinic
* magnetization: 0.0 μB/f.u.

Cell lengths 9.4030, 8.6861, 8.6861 Å; angles 117.63, 93.54, 93.54 degrees
With the nearest neighbours (Å) after each atom.
Atoms (fractional coordinates):
Tm 0.3178 0.9796 0.4324  3 Tm 3.16-3.53, 2 Er 3.35-3.52, 1 Tb 3.45, 1 Sm 3.52
Tm 0.8178 0.4324 0.9796  3 Tm 3.16-3.53, 2 Er 3.35-3.52, 1 Tb 3.45, 1 Sm 3.52
Tm 0.0575 0.1238 0.7514  7 Tm 3.36-3.66, 1 Er 3.45, 1 Sm 3.65
Tm 0.9425 0.8762 0.2486  7 Tm 3.36-3.66, 1 Er 3.45, 1 Sm 3.65
Tm 0.8824 0.2909 0.5090  4 Tm 3.16-3.46, 3 Er 3.24-3.39, 2 Tb 3.38-3.48
Tm 0.5575 0.7514 0.1238  7 Tm 3.36-3.66, 1 Er 3.45, 1 Sm 3.65
Tm 0.1176 0.7091 0.4910  4 Tm 3.16-3.46, 3 Er 3.24-3.39, 2 Tb 3.38-3.48
Tm 0.6176 0.4910 0.7091  4 Tm 3.16-3.46, 3 Er 3.24-3.39, 2 Tb 3.38-3.48
Tm 0.1822 0.5676 0.0204  3 Tm 3.16-3.53, 2 Er 3.35-3.52, 1 Tb 3.45, 1 Sm 3.52
Tm 0.4425 0.2486 0.8762  7 Tm 3.36-3.66, 1 Er 3.45, 1 Sm 3.65
Tm 0.3824 0.5090 0.2909  4 Tm 3.16-3.46, 3 Er 3.24-3.39, 2 Tb 3.38-3.48
Tm 0.6822 0.0204 0.5676  3 Tm 3.16-3.53, 2 Er 3.35-3.52, 1 Tb 3.45, 1 Sm 3.52
Er 0.9536 0.6966 0.8031  6 Tm 3.24-3.52, 2 Sm 3.34-3.39, 1 Tb 3.50
Er 0.0464 0.3034 0.1969  6 Tm 3.24-3.52, 2 Sm 3.34-3.39, 1 Tb 3.50
Er 0.5464 0.1969 0.3034  6 Tm 3.24-3.52, 2 Sm 3.34-3.39, 1 Tb 3.50
Er 0.4536 0.8031 0.6966  6 Tm 3.24-3.52, 2 Sm 3.34-3.39, 1 Tb 3.50
Sm 0.2500 0.9736 0.0264  4 Er 3.34-3.39, 4 Tm 3.52-3.65
Sm 0.7500 0.0264 0.9736  4 Er 3.34-3.39, 4 Tm 3.52-3.65
Tb 0.7500 0.5905 0.4095  6 Tm 3.38-3.48, 2 Er 3.50
Tb 0.2500 0.4095 0.5905  6 Tm 3.38-3.48, 2 Er 3.50

=====

Energy of formation for the records above, in order: 155, 16, 24, 282, 118, 17, 23, 125 meV per atom
VASP energy for the records above, in order: -79.957, -55.292, -36.168, -51.581, -90.863, -55.181, -54.305, -88.114 eV per cell